No. 1
# CoRuS2Cl

Crystalline CoRuS2Cl at its relaxed geometry (PBE-GGA, Alexandria via LeMat-Bulk).

Geometry as CIF:
```
data_CoRuS2Cl
_chemical_formula_sum 'Co1 Ru1 S2 Cl1'
_cell_length_a 4.420
_cell_length_b 4.420
_cell_length_c 4.525
_cell_angle_alpha 90.00
_cell_angle_beta 90.00
_cell_angle_gamma 90.00
_symmetry_space_group_name_H-M 'P 4/m m m'
_symmetry_Int_Tables_number 123
_symmetry_space_group_name_Hall '-P 4 2'
loop_
_atom_site_label
_atom_site_type_symbol
_atom_site_fract_x
_atom_site_fract_y
_atom_site_fract_z
Co1 Co 0.000 0.000 0.000
Ru1 Ru 0.500 0.500 0.500
S1 S 0.000 0.500 0.000
Cl1 Cl 0.000 0.000 0.500
```

Results
Density of states at the Fermi level   4.74 states/eV per cell
Volume   17.677 Å³ per atom
Crystal system   tetragonal
Raw total energy   -22.72 eV per formula unit
Formation energy (no corrections)   752 meV per atom


No. 2
# CoRuS2Cl

Crystalline CoRuS2Cl at its relaxed geometry (PBE-GGA, Alexandria via LeMat-Bulk).

Geometry as CIF:
```
data_CoRuS2Cl
_chemical_formula_sum 'Co1 Ru1 S2 Cl1'
_cell_length_a 4.542
_cell_length_b 4.542
_cell_length_c 4.953
_cell_angle_alpha 90.00
_cell_angle_beta 90.00
_cell_angle_gamma 90.00
_symmetry_space_group_name_H-M 'P 4/m m m'
_symmetry_Int_Tables_number 123
_symmetry_space_group_name_Hall '-P 4 2'
loop_
_atom_site_label
_atom_site_type_symbol
_atom_site_fract_x
_atom_site_fract_y
_atom_site_fract_z
Co1 Co 0.000 0.000 0.000
Ru1 Ru 0.500 0.500 0.500
S1 S 0.000 0.500 0.500
Cl1 Cl 0.500 0.500 0.000
```

Results
Density of states at the Fermi level   5.61 states/eV per cell
Volume   20.434 Å³ per atom
Crystal system   tetragonal
Raw total energy   -23.03 eV per formula unit
Formation energy (no corrections)   692 meV per atom


No. 3
# Sm6CoRu2Cl3

Crystalline Sm6CoRu2Cl3 at its relaxed geometry (PBE-GGA, Alexandria via LeMat-Bulk).

Geometry as CIF:
```
data_Sm6CoRu2Cl3
_chemical_formula_sum 'Sm12 Co2 Ru4 Cl6'
_cell_length_a 6.849
_cell_length_b 11.862
_cell_length_c 7.909
_cell_angle_alpha 90.00
_cell_angle_beta 106.81
_cell_angle_gamma 90.00
_symmetry_space_group_name_H-M 'C 1 2/m 1'
_symmetry_Int_Tables_number 12
loop_
_symmetry_equiv_pos_as_xyz
'x,y,z'
'-x,-y,-z'
'-x,y,-z'
'x,-y,z'
'x+1/2,y+1/2,z'
'-x+1/2,-y+1/2,-z'
'-x+1/2,y+1/2,-z'
'x+1/2,-y+1/2,z'
loop_
_atom_site_label
_atom_site_type_symbol
_atom_site_fract_x
_atom_site_fract_y
_atom_site_fract_z
Sm1 Sm 0.232 0.164 0.205
Sm2 Sm 0.241 0.500 0.205
Co1 Co 0.000 0.000 0.000
Ru1 Ru 0.000 0.333 0.000
Cl1 Cl 0.000 0.168 0.500
Cl2 Cl 0.000 0.500 0.500
```

Results
Density of states at the Fermi level   9.87 states/eV per cell
Volume   25.626 Å³ per atom
Crystal system   monoclinic
Raw total energy   -69.83 eV per formula unit
Formation energy (no corrections)   -860 meV per atom


No. 4
# TlCoRuCl6

Crystalline TlCoRuCl6 at its relaxed geometry (PBE-GGA, Alexandria via LeMat-Bulk).

Geometry as CIF:
```
data_TlCoRuCl6
_chemical_formula_sum 'Tl1 Co1 Ru1 Cl6'
_cell_length_a 6.3315
_cell_length_b 6.3315
_cell_length_c 7.0444
_cell_angle_alpha 90.00
_cell_angle_beta 90.00
_cell_angle_gamma 120.00
_symmetry_space_group_name_H-M 'P 3 1 2'
_symmetry_Int_Tables_number 149
loop_
_symmetry_equiv_pos_as_xyz
'x,y,z'
'-y,x-y,z'
'-x+y,-x,z'
'-y,-x,-z'
'-x+y,y,-z'
'x,x-y,-z'
loop_
_atom_site_label
_atom_site_type_symbol
_atom_site_fract_x
_atom_site_fract_y
_atom_site_fract_z
Tl1 Tl 0.0000 0.0000 0.0000
Co1 Co 0.3333 0.6667 0.5000
Ru1 Ru 0.6667 0.3333 0.5000
Cl1 Cl 0.3797 0.0065 0.6911
```

Results
Density of states at the Fermi level   7.87 states/eV per cell
Volume   27.174 Å³ per atom
Crystal system   trigonal
Raw total energy   -35.50 eV per formula unit
Formation energy (no corrections)   -630 meV per atom


Please write out number 1 again, unchanged.
# CoRuS2Cl

Crystalline CoRuS2Cl at its relaxed geometry (PBE-GGA, Alexandria via LeMat-Bulk).

Geometry as CIF:
```
data_CoRuS2Cl
_chemical_formula_sum 'Co1 Ru1 S2 Cl1'
_cell_length_a 4.420
_cell_length_b 4.420
_cell_length_c 4.525
_cell_angle_alpha 90.00
_cell_angle_beta 90.00
_cell_angle_gamma 90.00
_symmetry_space_group_name_H-M 'P 4/m m m'
_symmetry_Int_Tables_number 123
_symmetry_space_group_name_Hall '-P 4 2'
loop_
_atom_site_label
_atom_site_type_symbol
_atom_site_fract_x
_atom_site_fract_y
_atom_site_fract_z
Co1 Co 0.000 0.000 0.000
Ru1 Ru 0.500 0.500 0.500
S1 S 0.000 0.500 0.000
Cl1 Cl 0.000 0.000 0.500
```

Results
Density of states at the Fermi level   4.74 states/eV per cell
Volume   17.677 Å³ per atom
Crystal system   tetragonal
Raw total energy   -22.72 eV per formula unit
Formation energy (no corrections)   752 meV per atom